P) Here is an optimized crystal structure of AgAs3 from the Alexandria database. Energies are from PBEsol.

As for the spin magnetization: 0.00 μB/cell. As for the space group: Immm.

Unit cell a=3.5416 b=4.1352 c=5.8276 alpha=110.78 beta=107.69 gamma=90.00
Last column: nearest neighbours and their distance in Å.
Positions (direct):
1 As 0.7969 0.7969 0.5938  6 As 2.74-2.89, 2 Ag 2.94
2 As 0.2031 0.2031 0.4062  6 As 2.74-2.89, 2 Ag 2.94
3 As 0.5000 0.0000 0.0000  4 Ag 2.72, 4 As 2.74
4 Ag 0.0000 0.5000 0.0000  8 As 2.72-2.94

***

Q) Here is an optimized crystal structure of AgAs3 from the Alexandria database. Energies are from PBEsol.

As for the spin magnetization: 0.00 μB/cell. As for the space group: Pmmm.

Unit cell a=2.9029 b=4.2469 c=5.9787 alpha=90.00 beta=90.00 gamma=90.00
Last column: nearest neighbours and their distance in Å.
Positions (direct):
1 As 0.5000 0.5000 0.7729  3 As 2.72-2.90, 4 Ag 2.91
2 As 0.0000 0.0000 0.5000  10 As 2.90-3.05, 2 Ag 2.99
3 As 0.5000 0.5000 0.2271  3 As 2.72-2.90, 4 Ag 2.91
4 Ag 0.0000 0.0000 0.0000  2 Ag 2.90, 10 As 2.91-2.99

***

R) Here is an optimized crystal structure of AgAs3 from the Alexandria database. Energies are from PBEsol.

As for the spin magnetization: 0.00 μB/cell. As for the space group: Cmcm.

Unit cell a=3.9617 b=6.4435 c=6.4435 alpha=111.90 beta=90.00 gamma=90.00
Last column: nearest neighbours and their distance in Å.
Positions (direct):
1 Ag 0.7500 0.5933 0.4067  8 As 2.67-2.90, 2 Ag 2.81
2 Ag 0.2500 0.4067 0.5933  8 As 2.67-2.90, 2 Ag 2.81
3 As 0.7500 0.2385 0.7615  2 Ag 2.67, 6 As 2.79-2.93
4 As 0.2500 0.7615 0.2385  2 Ag 2.67, 6 As 2.79-2.93
5 As 0.7500 0.7029 0.8855  6 As 2.78-2.97, 3 Ag 2.90
6 As 0.2500 0.2971 0.1145  6 As 2.78-2.97, 3 Ag 2.90
7 As 0.2500 0.8855 0.7029  6 As 2.78-2.97, 3 Ag 2.90
8 As 0.7500 0.1145 0.2971  6 As 2.78-2.97, 3 Ag 2.90

***

S) Here is an optimized crystal structure of AgAs3 from the Alexandria database. Energies are from PBEsol.

As for the spin magnetization: 0.00 μB/cell. As for the space group: Cmcm.

Unit cell a=5.3750 b=5.3976 c=5.3976 alpha=90.07 beta=90.00 gamma=90.00
Last column: nearest neighbours and their distance in Å.
Positions (direct):
1 Ag 0.2500 0.4647 0.5353  4 As 2.71, 2 Ag 2.74
2 Ag 0.7500 0.5353 0.4647  4 As 2.71, 2 Ag 2.74
3 As 0.7500 0.0301 0.9699  4 As 2.48-2.73
4 As 0.2500 0.9699 0.0301  4 As 2.48-2.73
5 As 0.7500 0.0350 0.5103  3 As 2.48-2.72, 2 Ag 2.71
6 As 0.2500 0.9650 0.4897  3 As 2.48-2.72, 2 Ag 2.71
7 As 0.7500 0.4897 0.9650  3 As 2.48-2.72, 2 Ag 2.71
8 As 0.2500 0.5103 0.0350  3 As 2.48-2.72, 2 Ag 2.71

***

Stability check: which of them is most stable? S).

***

P) Here is an optimized crystal structure of Ag2As from the Alexandria database. Energies are from PBEsol.

As for the spin magnetization: 0.00 μB/cell. As for the space group: P-3m1.

Unit cell a=2.8594 b=4.5997 c=4.5997 alpha=120.00 beta=90.00 gamma=90.00
Last column: nearest neighbours and their distance in Å.
Positions (direct):
1 As 0.0000 0.0000 0.0000  6 Ag 2.75, 2 As 2.86
2 Ag 0.7493 0.3333 0.6667  3 As 2.75, 8 Ag 2.86-3.02
3 Ag 0.2507 0.6667 0.3333  3 As 2.75, 8 Ag 2.86-3.02

***

Q) Here is an optimized crystal structure of Ag2As from the Alexandria database. Energies are from PBEsol.

As for the spin magnetization: 0.00 μB/cell. As for the space group: Immm.

Unit cell a=2.9509 b=3.9611 c=5.0577 alpha=113.05 beta=106.96 gamma=90.00
Last column: nearest neighbours and their distance in Å.
Positions (direct):
1 As 0.0000 0.0000 0.0000  10 Ag 2.87-2.95, 2 As 2.95
2 Ag 0.6663 0.6663 0.3326  5 As 2.87-2.95, 7 Ag 2.88-2.95
3 Ag 0.3337 0.3337 0.6674  5 As 2.87-2.95, 7 Ag 2.88-2.95

***

Stability check: which of them is most stable? Q).

***

P) Here is an optimized crystal structure of AgAs2Au from the Alexandria database. Energies are from PBEsol.

As for the spin magnetization: 0.00 μB/cell. As for the space group: Pmmm.

Unit cell a=2.7646 b=4.8157 c=5.4135 alpha=90.00 beta=89.94 gamma=90.00
Last column: nearest neighbours and their distance in Å.
Positions (direct):
1 As 0.5000 0.0000 0.7444  4 As 2.65-2.77, 2 Au 2.78
2 As 0.5000 0.0000 0.2556  4 As 2.65-2.77, 2 Au 2.78
3 Au 0.5000 0.5000 0.0000  2 Au 2.76, 4 As 2.78, 4 Ag 3.04
4 Ag 0.0000 0.5000 0.5000  2 Ag 2.76, 4 Au 3.04, 8 As 3.07-3.08

***

Q) Here is an optimized crystal structure of AgAs2Au from the Alexandria database. Energies are from PBEsol.

As for the spin magnetization: 0.00 μB/cell. As for the space group: P2/m.

Unit cell a=3.4368 b=4.1939 c=5.3829 alpha=107.95 beta=90.00 gamma=90.00
Last column: nearest neighbours and their distance in Å.
Positions (direct):
1 As 0.0000 0.0000 0.0000  2 Ag 2.69, 4 Au 2.71
2 As 0.5000 0.5000 0.5000  2 Au 2.69, 4 Ag 2.71
3 Au 0.5000 0.5000 0.0000  6 As 2.69-2.71
4 Ag 0.0000 0.0000 0.5000  6 As 2.69-2.71

***

R) Here is an optimized crystal structure of AgAs2Au from the Alexandria database. Energies are from PBEsol.

As for the spin magnetization: 0.00 μB/cell. As for the space group: Cmmm.

Unit cell a=2.8032 b=2.8032 c=9.1042 alpha=90.00 beta=90.00 gamma=93.67
Last column: nearest neighbours and their distance in Å.
Positions (direct):
1 As 0.0000 0.0000 0.2453  4 As 2.80, 4 Ag 2.94-3.03, 4 Au 3.01-3.09
2 As 0.0000 0.0000 0.7547  4 As 2.80, 4 Ag 2.94-3.03, 4 Au 3.01-3.09
3 Au 0.5000 0.5000 0.5000  4 Au 2.80, 8 As 3.01-3.09
4 Ag 0.5000 0.5000 0.0000  4 Ag 2.80, 8 As 2.94-3.03

***

Stability check: which of them is most stable? P).